(1)
Density functional theory data (GGA-PBE) for an optimized crystal structure of Ba2InFe.

Output
ΔH_f (0 K)	0.36	eV per atom
volume	249	Å³ per cell
D(E_F)	0.876	states/eV/atom
energy	-3.400	eV/atom
spin magnetization	0.719	μB/atom

Unit cell a=5.607 b=5.607 c=7.914 alpha=90.00 beta=90.00 gamma=90.00
Space group I-4m2 (No. 119)
Unique sites:
1 Ba 0.000 0.000 0.000 x2
2 Ba 0.000 0.500 0.250 x2
3 In 0.000 0.500 0.750 x2
4 Fe 0.000 0.000 0.500 x2

=====

(2)
Density functional theory data (GGA-PBE) for an optimized crystal structure of Hf2NpTl.

Output
ΔH_f (0 K)	0.27	eV per atom
ΔE to the lowest computed polymorph	13	meV/atom
volume	91	Å³ per cell
D(E_F)	2.121	states/eV/atom
energy	-8.536	eV/atom
spin magnetization	1.086	μB/atom

Unit cell a=4.658 b=4.658 c=4.185 alpha=90.00 beta=90.00 gamma=90.00
Space group P4/mmm (No. 123)
Unique sites:
1 Hf 0.000 0.500 0.000 x2
2 Np 0.000 0.000 0.500 x1
3 Tl 0.500 0.500 0.500 x1

=====

(3)
Density functional theory data (GGA-PBE) for an optimized crystal structure of CrGa2Au.

Output
ΔH_f (0 K)	-0.04	eV per atom
ΔE to the lowest computed polymorph	0	meV/atom
volume	63	Å³ per cell
D(E_F)	0.319	states/eV/atom
energy	-4.774	eV/atom
spin magnetization	0.680	μB/atom

Unit cell a=4.036 b=4.036 c=3.863 alpha=90.00 beta=90.00 gamma=90.00
Space group P4/mmm (No. 123)
Unique sites:
1 Cr 0.000 0.000 0.000 x1
2 Ga 0.000 0.500 0.500 x2
3 Au 0.500 0.500 0.000 x1

=====

(4)
Density functional theory data (GGA-PBE) for an optimized crystal structure of LaTmMgZn.

Output
ΔH_f (0 K)	-0.16	eV per atom
ΔE to the lowest computed polymorph	39	meV/atom
volume	421	Å³ per cell
D(E_F)	1.146	states/eV/atom
energy	-3.231	eV/atom
spin magnetization	0.000	μB/atom

Unit cell a=7.494 b=7.494 c=7.494 alpha=90.00 beta=90.00 gamma=90.00
Space group F-43m (No. 216)
Unique sites:
1 La 0.000 0.000 0.000 x4
2 Tm 0.000 0.000 0.500 x4
3 Mg 0.250 0.250 0.750 x4
4 Zn 0.250 0.250 0.250 x4

=====

(5)
Density functional theory data (GGA-PBE) for an optimized crystal structure of HfScSb2.

Output
ΔE to the lowest computed polymorph	0	meV/atom
formation energy from raw total energies	-0.66	eV/atom
volume	299	Å³ per cell
D(E_F)	0.489	states/eV/atom
energy	-6.794	eV/atom
spin magnetization	0.000	μB/atom

Unit cell a=4.1122 b=4.1122 c=20.4075 alpha=90.00 beta=90.00 gamma=120.00
Space group R-3m (No. 166, hexagonal axes)
Unique sites:
1 Hf 0.0000 0.0000 0.0000 x3
2 Sc 0.0000 0.0000 0.5000 x3
3 Sb 0.0000 0.0000 0.2504 x6

=====

(6)
Density functional theory data (GGA-PBE) for an optimized crystal structure of PaFeN.

Output
ΔE to the lowest computed polymorph	262	meV/atom
formation energy from raw total energies	-0.53	eV/atom
volume	39	Å³ per cell
D(E_F)	0.764	states/eV/atom
energy	-9.289	eV/atom
spin magnetization	0.000	μB/atom

Unit cell a=3.6579 b=3.6579 c=3.3596 alpha=90.00 beta=90.00 gamma=120.00
Space group P3m1 (No. 156)
Unique sites:
1 Pa 0.0000 0.0000 0.0000 x1
2 Fe 0.6667 0.3333 0.4697 x1
3 N 0.3333 0.6667 0.5647 x1

=====

(7)
Density functional theory data (GGA-PBE) for an optimized crystal structure of K2BeAs2.

Output
ΔH_f (0 K)	-0.09	eV per atom
volume	237	Å³ per cell
D(E_F)	0.063	states/eV/atom
energy	-3.137	eV/atom
spin magnetization	0.000	μB/atom

Unit cell a=6.551 b=6.551 c=5.519 alpha=90.00 beta=90.00 gamma=90.00
Space group P4/mbm (No. 127)
Unique sites:
1 K 0.170 0.330 0.000 x4
2 Be 0.000 0.000 0.500 x2
3 As 0.140 0.640 0.500 x4

=====

(8)
Density functional theory data (GGA-PBE) for an optimized crystal structure of BeTePb3.

Output
ΔE to the lowest computed polymorph	0	meV/atom
formation energy from raw total energies	0.22	eV/atom
volume	142	Å³ per cell
D(E_F)	0.685	states/eV/atom
energy	-3.374	eV/atom
spin magnetization	0.000	μB/atom

Unit cell a=5.214 b=5.214 c=5.214 alpha=90.00 beta=90.00 gamma=90.00
Space group Pm-3m (No. 221)
Unique sites:
1 Be 0.000 0.000 0.000 x1
2 Te 0.500 0.500 0.500 x1
3 Pb 0.000 0.000 0.500 x3

=====

(9)
Density functional theory data (GGA-PBE) for an optimized crystal structure of MgMoPd.

Output
ΔH_f (0 K)	-0.13	eV per atom
ΔE to the lowest computed polymorph	81	meV/atom
volume	99	Å³ per cell
D(E_F)	0.083	states/eV/atom
energy	-6.000	eV/atom
spin magnetization	0.000	μB/atom

Unit cell a=4.654 b=3.327 c=6.815 alpha=90.00 beta=109.91 gamma=90.00
Space group Pm (No. 6)
Unique sites:
1 Mg 0.000 0.000 0.000 x1
2 Mg 0.327 0.000 0.654 x1
3 Mo 0.516 0.500 0.032 x1
4 Mo 0.654 0.000 0.309 x1
5 Pd 0.166 0.500 0.333 x1
6 Pd 0.833 0.500 0.667 x1

=====

(10)
Density functional theory data (GGA-PBE) for an optimized crystal structure of CePm4Si2.

Output
formation energy from raw total energies	-0.30	eV/atom
volume	390	Å³ per cell
D(E_F)	1.472	states/eV/atom
energy	-5.416	eV/atom
spin magnetization	0.103	μB/atom

Unit cell a=10.386 b=10.386 c=3.617 alpha=90.00 beta=90.00 gamma=90.00
Space group P4_2/mnm (No. 136)
Unique sites:
1 Ce 0.000 0.000 0.000 x2
2 Pm 0.096 0.313 0.500 x8
3 Si 0.165 0.835 0.500 x4

=====

(11)
Density functional theory data (GGA-PBE) for an optimized crystal structure of Pu2NiGeRu.

Output
ΔH_f (0 K)	-0.24	eV per atom
volume	176	Å³ per cell
D(E_F)	2.202	states/eV/atom
energy	-9.905	eV/atom
spin magnetization	1.729	μB/atom

Unit cell a=5.609 b=4.592 c=6.993 alpha=90.00 beta=102.91 gamma=90.00
Space group P2_1/m (No. 11)
Unique sites:
1 Pu 0.164 0.250 0.033 x2
2 Pu 0.327 0.250 0.470 x2
3 Ni 0.081 0.750 0.349 x2
4 Ge 0.236 0.750 0.736 x2
5 Ru 0.439 0.750 0.132 x2

=====

(12)
Density functional theory data (GGA-PBE) for an optimized crystal structure of TbPr5Sm6.

Output
ΔH_f (0 K)	0.01	eV per atom
volume	832	Å³ per cell
D(E_F)	1.453	states/eV/atom
energy	-4.724	eV/atom
spin magnetization	0.000	μB/atom

Unit cell a=6.342 b=10.985 c=12.123 alpha=90.00 beta=100.08 gamma=90.00
Space group C2/m (No. 12)
Unique sites:
1 Tb 0.000 0.000 0.000 x2
2 Pr 0.000 0.167 0.500 x4
3 Pr 0.000 0.333 0.000 x4
4 Pr 0.000 0.500 0.500 x2
5 Sm 0.248 0.166 0.249 x8
6 Sm 0.250 0.000 0.751 x4

=====

(13)
Density functional theory data (GGA-PBE) for an optimized crystal structure of PmTmSiPd.

Output
formation energy from raw total energies	-0.69	eV/atom
volume	357	Å³ per cell
D(E_F)	0.527	states/eV/atom
energy	-5.646	eV/atom
spin magnetization	0.000	μB/atom

Unit cell a=7.095 b=7.095 c=7.095 alpha=90.00 beta=90.00 gamma=90.00
Space group F-43m (No. 216)
Unique sites:
1 Pm 0.000 0.000 0.000 x4
2 Tm 0.000 0.000 0.500 x4
3 Si 0.250 0.250 0.250 x4
4 Pd 0.250 0.250 0.750 x4

=====

(14)
Density functional theory data (GGA-PBE) for an optimized crystal structure of SiRu2Cl.

Output
ΔE to the lowest computed polymorph	659	meV/atom
formation energy from raw total energies	0.60	eV/atom
volume	117	Å³ per cell
D(E_F)	1.303	states/eV/atom
energy	-5.858	eV/atom
spin magnetization	0.001	μB/atom

Unit cell a=3.513 b=3.513 c=9.467 alpha=90.00 beta=90.00 gamma=90.00
Space group I-4m2 (No. 119)
Unique sites:
1 Si 0.000 0.000 0.000 x2
2 Ru 0.000 0.000 0.500 x2
3 Ru 0.000 0.500 0.250 x2
4 Cl 0.000 0.500 0.750 x2

=====

(15)
Density functional theory data (GGA-PBE) for an optimized crystal structure of ScTcCl2.

Output
ΔE to the lowest computed polymorph	424	meV/atom
formation energy from raw total energies	-0.28	eV/atom
volume	72	Å³ per cell
D(E_F)	0.778	states/eV/atom
energy	-5.379	eV/atom
spin magnetization	0.076	μB/atom

Unit cell a=3.651 b=4.121 c=4.808 alpha=90.00 beta=90.72 gamma=90.00
Space group P2/m (No. 10)
Unique sites:
1 Sc 0.000 0.000 0.000 x1
2 Tc 0.500 0.000 0.500 x1
3 Cl 0.274 0.500 0.734 x2

=====

(16)
Density functional theory data (GGA-PBE) for an optimized crystal structure of PrAs2Pt5.

Output
ΔH_f (0 K)	-0.57	eV per atom
volume	296	Å³ per cell
D(E_F)	0.813	states/eV/atom
energy	-6.104	eV/atom
spin magnetization	0.000	μB/atom

Unit cell a=4.169 b=7.119 c=9.982 alpha=90.00 beta=90.00 gamma=90.00
Space group Immm (No. 71)
Unique sites:
1 Pr 0.000 0.000 0.000 x2
2 As 0.000 0.500 0.246 x4
3 Pt 0.000 0.204 0.361 x8
4 Pt 0.000 0.500 0.000 x2

=====

(17)
Density functional theory data (GGA-PBE) for an optimized crystal structure of MgAl2Ga.

Output
ΔH_f (0 K)	0.04	eV per atom
volume	74	Å³ per cell
D(E_F)	0.381	states/eV/atom
energy	-2.986	eV/atom
spin magnetization	0.000	μB/atom

Unit cell a=3.596 b=3.596 c=5.744 alpha=90.00 beta=90.00 gamma=90.00
Space group P4/mmm (No. 123)
Unique sites:
1 Mg 0.000 0.000 0.000 x1
2 Al 0.500 0.500 0.261 x2
3 Ga 0.000 0.000 0.500 x1

=====

(18)
Density functional theory data (GGA-PBE) for an optimized crystal structure of HfTl.

Output
ΔH_f (0 K)	1.41	eV per atom
volume	503	Å³ per cell
D(E_F)	1.110	states/eV/atom
energy	-4.750	eV/atom
spin magnetization	0.000	μB/atom

Unit cell a=7.954 b=7.954 c=7.954 alpha=90.00 beta=90.00 gamma=90.00
Space group Pm-3n (No. 223)
Unique sites:
1 Hf 0.000 0.250 0.500 x6
2 Tl 0.000 0.500 0.250 x6

=====

(19)
Density functional theory data (GGA-PBE) for an optimized crystal structure of Tc3Ru.

Output
ΔH_f (0 K)	0.06	eV per atom
ΔE to the lowest computed polymorph	108	meV/atom
volume	116	Å³ per cell
D(E_F)	1.238	states/eV/atom
energy	-10.030	eV/atom
spin magnetization	0.000	μB/atom

Unit cell a=9.073 b=2.721 c=4.746 alpha=90.00 beta=99.67 gamma=90.00
Space group C2/m (No. 12)
Unique sites:
1 Tc 0.000 0.000 0.000 x2
2 Tc 0.247 0.000 0.748 x4
3 Ru 0.000 0.500 0.500 x2

=====

(20)
Density functional theory data (GGA-PBE) for an optimized crystal structure of Lu2PuH.

Output
ΔE to the lowest computed polymorph	90	meV/atom
volume	85	Å³ per cell
D(E_F)	1.932	states/eV/atom
energy	-6.507	eV/atom
spin magnetization	1.480	μB/atom

Unit cell a=3.203 b=3.203 c=8.315 alpha=90.00 beta=90.00 gamma=90.00
Space group P4/mmm (No. 123)
Unique sites:
1 Lu 0.000 0.000 0.196 x2
2 Pu 0.500 0.500 0.500 x1
3 H 0.500 0.500 0.000 x1

=====

(21)
Density functional theory data (GGA-PBE) for an optimized crystal structure of Sm2Tl3Zn.

Output
ΔH_f (0 K)	-0.25	eV per atom
volume	158	Å³ per cell
D(E_F)	0.709	states/eV/atom
energy	-3.216	eV/atom
spin magnetization	0.000	μB/atom

Unit cell a=3.730 b=4.875 c=8.707 alpha=90.00 beta=90.00 gamma=90.00
Space group Pmm2 (No. 25)
Unique sites:
1 Sm 0.000 0.000 0.000 x1
2 Sm 0.000 0.500 0.486 x1
3 Tl 0.500 0.000 0.636 x1
4 Tl 0.500 0.500 0.176 x1
5 Tl 0.500 0.500 0.830 x1
6 Zn 0.500 0.000 0.319 x1

=====

(22)
Density functional theory data (GGA-PBE) for an optimized crystal structure of SmDyHg.

Output
ΔH_f (0 K)	-0.30	eV per atom
ΔE to the lowest computed polymorph	46	meV/atom
volume	172	Å³ per cell
D(E_F)	1.234	states/eV/atom
energy	-3.509	eV/atom
spin magnetization	0.228	μB/atom

Unit cell a=3.661 b=3.661 c=12.860 alpha=90.00 beta=90.00 gamma=90.00
Space group I4mm (No. 107)
Unique sites:
1 Sm 0.000 0.000 0.000 x2
2 Dy 0.000 0.000 0.308 x2
3 Hg 0.000 0.000 0.662 x2

=====

(23)
Density functional theory data (GGA-PBE) for an optimized crystal structure of Sr2Mg.

Output
ΔH_f (0 K)	-0.01	eV per atom
volume	512	Å³ per cell
D(E_F)	1.325	states/eV/atom
energy	-1.667	eV/atom
spin magnetization	0.000	μB/atom

Unit cell a=7.759 b=5.927 c=11.141 alpha=90.00 beta=90.00 gamma=90.00
Space group Pnma (No. 62)
Unique sites:
1 Sr 0.040 0.250 0.209 x4
2 Sr 0.174 0.250 0.567 x4
3 Mg 0.203 0.250 0.894 x4

=====

(24)
Density functional theory data (GGA-PBE) for an optimized crystal structure of AgSnHPd2.

Output
ΔE to the lowest computed polymorph	122	meV/atom
volume	74	Å³ per cell
D(E_F)	0.173	states/eV/atom
energy	-4.176	eV/atom
spin magnetization	0.000	μB/atom

Unit cell a=4.044 b=4.044 c=4.516 alpha=90.00 beta=90.00 gamma=90.00
Space group P4/mmm (No. 123)
Unique sites:
1 Ag 0.000 0.000 0.000 x1
2 Sn 0.500 0.500 0.000 x1
3 H 0.500 0.500 0.500 x1
4 Pd 0.000 0.500 0.500 x2

=====

(25)
Density functional theory data (GGA-PBE) for an optimized crystal structure of Mn2AlTl.

Output
ΔH_f (0 K)	0.31	eV per atom
ΔE to the lowest computed polymorph	92	meV/atom
volume	66	Å³ per cell
D(E_F)	0.922	states/eV/atom
energy	-5.803	eV/atom
spin magnetization	1.520	μB/atom

Unit cell a=2.929 b=4.521 c=4.972 alpha=90.00 beta=90.00 gamma=90.00
Space group Pmm2 (No. 25)
Unique sites:
1 Mn 0.000 0.000 0.000 x1
2 Mn 0.000 0.500 0.317 x1
3 Al 0.500 0.000 0.436 x1
4 Tl 0.500 0.500 0.818 x1